Entry from Alexandria via LeMat-Bulk: crystalline DyMnAs2O8 at its relaxed geometry (PBE with a Hubbard U).

Values from the calculation:
Its space group is I-4m2 (119). The energy comes out at -6.83 eV/atom.

```
12
Lattice="-3.4994 3.4994 3.1767 3.4994 -3.4994 3.1767 3.4994 3.4994 -3.1767" Properties=species:S:1:pos:R:3 pbc="T T T"
Dy 0.0000 0.0000 0.0000
Mn 3.4994 0.0000 1.5884
As 0.0000 0.0000 3.1767
As 0.0000 3.4994 1.5884
O 2.1995 3.4994 -1.1420
O 1.2999 0.0000 2.0347
O 0.0000 2.2229 0.4475
O 3.4994 2.1995 1.1420
O 0.0000 4.7759 0.4475
O 0.0000 1.2999 4.3187
O -1.2765 3.4994 2.7293
O 1.2765 3.4994 2.7293
```